First-principles (GGA-PBE) data for a relaxed structure of HoAlZnAu3, as listed in the Alexandria database.

Lattice parameters (Å, degrees): 6.652 11.987 6.153 90.00 90.00 90.00
Space group Cmcm (No. 63)
Asymmetric unit:
Ho 0.000 0.194 0.250 (multiplicity 4)
Al 0.000 0.130 0.750 (multiplicity 4)
Zn 0.000 0.434 0.250 (multiplicity 4)
Au 0.000 0.334 0.750 (multiplicity 4)
Au 0.214 0.000 0.000 (multiplicity 8)

## Properties
DOS at the Fermi energy, states/eV/atom: 0.35

---

First-principles (GGA-PBE) data for a relaxed structure of HoAlZn2Au4, as listed in the Alexandria database.

Lattice parameters (Å, degrees): 4.4978 4.4978 25.1501 90.00 90.00 120.00
Space group R-3m (No. 166, hexagonal axes)
Asymmetric unit:
Ho 0.0000 0.0000 0.0000 (multiplicity 3)
Al 0.0000 0.0000 0.5000 (multiplicity 3)
Zn 0.0000 0.0000 0.2508 (multiplicity 6)
Au 0.0000 0.0000 0.1329 (multiplicity 6)
Au 0.0000 0.0000 0.3937 (multiplicity 6)

## Properties
DOS at the Fermi energy, states/eV/atom: 0.41

---

First-principles (GGA-PBE) data for a relaxed structure of Ho2Al4Zn3Au, as listed in the Alexandria database.

Lattice parameters (Å, degrees): 4.160 4.160 10.819 90.00 90.00 90.00
Space group P-4m2 (No. 115)
Asymmetric unit:
Ho 0.000 0.500 0.246 (multiplicity 2)
Al 0.000 0.000 0.000 (multiplicity 1)
Al 0.000 0.500 0.638 (multiplicity 2)
Al 0.500 0.500 0.000 (multiplicity 1)
Zn 0.000 0.500 0.861 (multiplicity 2)
Zn 0.500 0.500 0.500 (multiplicity 1)
Au 0.000 0.000 0.500 (multiplicity 1)

## Properties
DOS at the Fermi energy, states/eV/atom: 0.34

---

First-principles (GGA-PBE) data for a relaxed structure of Ho2Al3ZnAu4, as listed in the Alexandria database.

Lattice parameters (Å, degrees): 4.322 4.322 10.582 90.00 90.00 90.00
Space group P-4m2 (No. 115)
Asymmetric unit:
Ho 0.000 0.500 0.247 (multiplicity 2)
Al 0.000 0.000 0.000 (multiplicity 1)
Al 0.000 0.500 0.631 (multiplicity 2)
Zn 0.500 0.500 0.000 (multiplicity 1)
Au 0.000 0.000 0.500 (multiplicity 1)
Au 0.000 0.500 0.863 (multiplicity 2)
Au 0.500 0.500 0.500 (multiplicity 1)

## Properties
DOS at the Fermi energy, states/eV/atom: 0.61

---

The following formation enthalpy at 0 K values (in meV per atom) correspond, in order, to the records above: -374.0, -468.8, -435.3, -637.2.